Compound: ZrNiMo
Source: Alexandria via LeMat-Bulk
Functional: PBE-GGA
Structure: relaxed

The structure in POSCAR format:
```
ZrNiMo
1.0
-0.973 -1.739 3.880
-1.892 -3.924 0.219
2.254 -3.429 1.480
Ni Mo Zr
1 1 1
Cartesian
-0.306 -4.546 2.789
0.000 0.000 0.000
-0.459 -6.819 4.184
```

Results
The formation enthalpy at 0 K is 1.02 eV per atom. The value obtained for the spin magnetization is 2.3 μB per formula unit. The excess energy over the best structure of this formula in the dataset is 1239 meV/atom. The volume is 58.7 Å³ per cell. As for the total energy: -22.108 eV/f.u. As for the space-group type: F-43m, No. 216.